*a*
K2LiNi: single point on PBEsol structure, meta-GGA SCAN.

Unit cell a=5.8506 b=5.8506 c=5.8506 alpha=129.73 beta=129.59 gamma=73.95
Positions (direct):
K 0.2495 0.2495 0.0000
K 0.7505 0.7505 0.0000
Li 0.5000 0.0000 0.5000
Ni 0.0000 0.5000 0.5000

The value obtained for the calculated density is 2.06 g cm⁻³. As for the space group: Immm, No. 71.

*b*
K2LiNi: single point on PBEsol structure, meta-GGA SCAN.

Unit cell a=3.4838 b=3.4838 c=10.2932 alpha=90.00 beta=90.00 gamma=90.00
Positions (direct):
K 0.0000 0.0000 0.1934
K 0.0000 0.0000 0.8066
Li 0.5000 0.5000 0.5000
Ni 0.5000 0.5000 0.0000

The value obtained for the calculated density is 1.91 g cm⁻³. As for the space group: P4/mmm, No. 123.

Relative energies, unit eV/atom: *a* 0.042; *b* 0.000

*a*
KLi2Ni: single point on PBEsol structure, meta-GGA SCAN.

Unit cell a=5.2979 b=5.2979 c=5.2979 alpha=130.66 beta=130.66 gamma=72.35
Positions (direct):
K 0.0000 0.0000 0.0000
Li 0.5000 0.5000 0.0000
Li 0.7500 0.2500 0.5000
Ni 0.2500 0.7500 0.5000

The value obtained for the calculated density is 2.22 g cm⁻³. As for the space group: I-4m2, No. 119.

*b*
KLi2Ni: single point on PBEsol structure, meta-GGA SCAN.

Unit cell a=3.2394 b=3.2394 c=8.0728 alpha=90.00 beta=90.00 gamma=90.00
Positions (direct):
K 0.0000 0.0000 0.0000
Li 0.5000 0.5000 0.3505
Li 0.5000 0.5000 0.6495
Ni 0.0000 0.0000 0.5000

The value obtained for the calculated density is 2.19 g cm⁻³. As for the space group: P4/mmm, No. 123.

Relative energies, unit eV/atom: *a* 0.223; *b* 0.000

*a*
KLiOs2: single point on PBEsol structure, meta-GGA SCAN.

Unit cell a=10.6593 b=10.6593 c=10.6593 alpha=15.03 beta=15.03 gamma=15.03
Positions (direct):
K 0.0000 0.0000 0.0000
Li 0.7724 0.7724 0.7724
Os 0.2413 0.2413 0.2413
Os 0.5106 0.5106 0.5106

The value obtained for the calculated density is 9.99 g cm⁻³. As for the space group: R3m, No. 160.

*b*
KLiOs2: single point on PBEsol structure, meta-GGA SCAN.

Unit cell a=5.8150 b=5.8150 c=5.8150 alpha=143.72 beta=143.72 gamma=52.24
Positions (direct):
K 0.0000 0.0000 0.0000
Li 0.5000 0.5000 0.0000
Os 0.2500 0.7500 0.5000
Os 0.7500 0.2500 0.5000

The value obtained for the calculated density is 10.35 g cm⁻³. As for the space group: I4/mmm, No. 139.

Relative energies, unit eV/atom: *a* 0.000; *b* 0.284

*a*
K2LiOs: single point on PBEsol structure, meta-GGA SCAN.

Unit cell a=11.3317 b=11.3317 c=11.3317 alpha=158.81 beta=158.81 gamma=30.14
Positions (direct):
K 0.1224 0.6250 0.9974
K 0.3750 0.3724 0.4974
K 0.6276 0.1250 0.0026
K 0.8750 0.8776 0.5026
Li 0.0000 0.0000 0.0000
Li 0.7500 0.2500 0.5000
Os 0.2500 0.7500 0.5000
Os 0.5000 0.5000 0.0000

The value obtained for the calculated density is 4.81 g cm⁻³. As for the space group: I-42d, No. 122.

*b*
K2LiOs: single point on PBEsol structure, meta-GGA SCAN.

Unit cell a=2.8274 b=2.8274 c=12.0384 alpha=90.00 beta=90.00 gamma=90.00
Positions (direct):
K 0.0000 0.0000 0.2158
K 0.0000 0.0000 0.7842
Li 0.5000 0.5000 0.5000
Os 0.5000 0.5000 0.0000

The value obtained for the calculated density is 4.75 g cm⁻³. As for the space group: P4/mmm, No. 123.

Relative energies, unit eV/atom: *a* 0.411; *b* 0.000

*a*
K2LiPt: single point on PBEsol structure, meta-GGA SCAN.

Unit cell a=5.2295 b=5.2295 c=5.2295 alpha=60.00 beta=60.00 gamma=60.00
Positions (direct):
K 0.0000 0.0000 0.0000
K 0.2500 0.2500 0.2500
Li 0.5000 0.5000 0.5000
Pt 0.7500 0.7500 0.7500

The value obtained for the calculated density is 4.60 g cm⁻³. As for the space group: F-43m, No. 216.

*b*
K2LiPt: single point on PBEsol structure, meta-GGA SCAN.

Unit cell a=3.3168 b=3.3168 c=10.9297 alpha=90.00 beta=90.00 gamma=90.00
Positions (direct):
K 0.0000 0.0000 0.1907
K 0.0000 0.0000 0.8093
Li 0.5000 0.5000 0.5000
Pt 0.5000 0.5000 0.0000

The value obtained for the calculated density is 3.87 g cm⁻³. As for the space group: P4/mmm, No. 123.

Relative energies, unit eV/atom: *a* 0.000; *b* 0.143

*a*
KLiPt2: single point on PBEsol structure, meta-GGA SCAN.

Unit cell a=5.6928 b=5.6928 c=2.7730 alpha=102.87 beta=102.87 gamma=121.94
Positions (direct):
K 0.0000 0.0000 0.0000
Li 0.5000 0.5000 0.0000
Pt 0.0000 0.5000 0.5000
Pt 0.5000 0.0000 0.5000

The value obtained for the calculated density is 10.69 g cm⁻³. As for the space group: C2/m, No. 12.

*b*
KLiPt2: single point on PBEsol structure, meta-GGA SCAN.

Unit cell a=2.6818 b=4.0986 c=6.9098 alpha=90.00 beta=90.00 gamma=90.00
Positions (direct):
K 0.0000 0.0000 0.0000
Li 0.0000 0.0000 0.5000
Pt 0.5000 0.5000 0.3155
Pt 0.5000 0.5000 0.6845

The value obtained for the calculated density is 9.54 g cm⁻³. As for the space group: Pmmm, No. 47.

Relative energies, unit eV/atom: *a* 0.051; *b* 0.000